Here is a relaxed structure of FeCoNi2 from Alexandria. Energies are from GGA-PBE.

Results
space-group type	C2/c (15)
DOS(E_F)	8.655	states/eV per cell
V	11.8	A^3/atom
formation enthalpy at 0 K	0.17	eV/atom

```
8
Lattice="2.216 -5.796 0.000 2.216 5.796 0.000 -1.707 0.000 3.682" Properties=species:S:1:pos:R:3 pbc="T T T"
Fe 0.936 4.324 2.762
Fe 1.789 -4.324 0.921
Co 1.789 2.827 0.921
Co 0.936 -2.827 2.762
Ni -0.174 0.841 3.282
Ni 0.680 -0.841 1.441
Ni 2.046 0.841 2.241
Ni 2.899 -0.841 0.400
```